Compound: MgTaCu
Source: the Alexandria database
Functional: GGA-PBE
Structure: optimized geometry

The structure belongs to space group F-43m (No. 216); the cell edges are 6.072, 6.072 and 6.072 Å and the angles 90.00°, 90.00° and 90.00°. The distinct sites, in fractional coordinates, are Mg at (0.000, 0.000, 0.000), Ta at (0.250, 0.250, 0.750) and Cu at (0.250, 0.250, 0.250).

The relative energy among the computed polymorphs is 1.2179 eV per atom. The total magnetization comes out at 0.00 μB/f.u. The electronic total energy comes out at -4.5480 eV per atom. As for the theoretical density: 7.97 g/cm³.